Entry 1:
First-principles (PBE) data for a geometry-optimized LaTbHo2Th structure, as listed in Alexandria via LeMat-Bulk.

The structure in CIF format:
```
data_LaTbHo2Th
_chemical_formula_sum 'La1 Tb1 Ho2 Th1'
_space_group_name_H-M_alt 'P 1'
_space_group_IT_number 1
_space_group_name_Hall 'P 1'
_cell_length_a 3.524
_cell_length_b 5.668
_cell_length_c 8.727
_cell_angle_alpha 90.00
_cell_angle_beta 90.08
_cell_angle_gamma 90.00
loop_
_atom_site_label
_atom_site_type_symbol
_atom_site_fract_x
_atom_site_fract_y
_atom_site_fract_z
La1 La 0.000 0.000 0.000
Tb1 Tb 0.500 0.000 0.500
Ho1 Ho 0.002 0.500 0.321
Ho2 Ho 0.998 0.500 0.679
Th1 Th 0.500 0.500 0.000
```

Values from the calculation:
- space group = P2/m, No. 10

---

Entry 2:
First-principles (PBE) data for a geometry-optimized LaTb6Ho3Th2 structure, as listed in Alexandria via LeMat-Bulk.

The structure in CIF format:
```
data_LaTb6Ho3Th2
_chemical_formula_sum 'La1 Tb6 Ho3 Th2'
_space_group_name_H-M_alt 'P 1'
_space_group_IT_number 1
_space_group_name_Hall 'P 1'
_cell_length_a 6.196
_cell_length_b 6.196
_cell_length_c 11.790
_cell_angle_alpha 95.05
_cell_angle_beta 95.05
_cell_angle_gamma 119.96
loop_
_atom_site_label
_atom_site_type_symbol
_atom_site_fract_x
_atom_site_fract_y
_atom_site_fract_z
La1 La 0.000 0.000 0.000
Tb1 Tb 0.084 0.423 0.250
Tb2 Tb 0.254 0.254 0.750
Tb3 Tb 0.423 0.084 0.250
Tb4 Tb 0.577 0.916 0.750
Tb5 Tb 0.746 0.746 0.250
Tb6 Tb 0.916 0.577 0.750
Ho1 Ho 0.167 0.833 0.500
Ho2 Ho 0.500 0.500 0.500
Ho3 Ho 0.833 0.167 0.500
Th1 Th 0.333 0.667 0.000
Th2 Th 0.667 0.333 0.000
```

Values from the calculation:
- space group = C2/m, No. 12

---

Entry 3:
First-principles (PBE) data for a geometry-optimized La6TbHo2Th structure, as listed in Alexandria via LeMat-Bulk.

The structure in CIF format:
```
data_La6TbHo2Th
_chemical_formula_sum 'La12 Tb2 Ho4 Th2'
_space_group_name_H-M_alt 'P 1'
_space_group_IT_number 1
_space_group_name_Hall 'P 1'
_cell_length_a 8.936
_cell_length_b 8.936
_cell_length_c 9.918
_cell_angle_alpha 94.73
_cell_angle_beta 94.73
_cell_angle_gamma 116.01
loop_
_atom_site_label
_atom_site_type_symbol
_atom_site_fract_x
_atom_site_fract_y
_atom_site_fract_z
La1 La 0.008 0.576 0.191
La2 La 0.102 0.758 0.558
La3 La 0.242 0.898 0.942
La4 La 0.302 0.507 0.380
La5 La 0.424 0.992 0.309
La6 La 0.493 0.698 0.120
La7 La 0.507 0.302 0.880
La8 La 0.576 0.008 0.691
La9 La 0.698 0.493 0.620
La10 La 0.758 0.102 0.058
La11 La 0.898 0.242 0.442
La12 La 0.992 0.424 0.809
Tb1 Tb 0.406 0.594 0.750
Tb2 Tb 0.594 0.406 0.250
Ho1 Ho 0.196 0.283 0.052
Ho2 Ho 0.283 0.196 0.552
Ho3 Ho 0.717 0.804 0.448
Ho4 Ho 0.804 0.717 0.948
Th1 Th 0.031 0.969 0.250
Th2 Th 0.969 0.031 0.750
```

Values from the calculation:
- space group = C2/c, No. 15

---

Entry 4:
First-principles (PBE) data for a geometry-optimized La2TbHoTh structure, as listed in Alexandria via LeMat-Bulk.

The structure in CIF format:
```
data_La2TbHoTh
_chemical_formula_sum 'La4 Tb2 Ho2 Th2'
_space_group_name_H-M_alt 'P 1'
_space_group_IT_number 1
_space_group_name_Hall 'P 1'
_cell_length_a 6.322
_cell_length_b 8.508
_cell_length_c 6.642
_cell_angle_alpha 90.00
_cell_angle_beta 101.52
_cell_angle_gamma 90.00
loop_
_atom_site_label
_atom_site_type_symbol
_atom_site_fract_x
_atom_site_fract_y
_atom_site_fract_z
La1 La 0.219 0.175 0.164
La2 La 0.219 0.825 0.664
La3 La 0.781 0.175 0.336
La4 La 0.781 0.825 0.836
Tb1 Tb 0.500 0.165 0.750
Tb2 Tb 0.500 0.835 0.250
Ho1 Ho 0.000 0.406 0.750
Ho2 Ho 0.000 0.594 0.250
Th1 Th 0.500 0.500 0.000
Th2 Th 0.500 0.500 0.500
```

Values from the calculation:
- space group = P2/c, No. 13

---

Entry 5:
First-principles (PBE) data for a geometry-optimized La2Tb6Ho3Th structure, as listed in Alexandria via LeMat-Bulk.

The structure in CIF format:
```
data_La2Tb6Ho3Th
_chemical_formula_sum 'La2 Tb6 Ho3 Th1'
_space_group_name_H-M_alt 'P 1'
_space_group_IT_number 1
_space_group_name_Hall 'P 1'
_cell_length_a 6.218
_cell_length_b 6.218
_cell_length_c 11.843
_cell_angle_alpha 95.02
_cell_angle_beta 95.02
_cell_angle_gamma 119.97
loop_
_atom_site_label
_atom_site_type_symbol
_atom_site_fract_x
_atom_site_fract_y
_atom_site_fract_z
La1 La 0.167 0.833 0.000
La2 La 0.833 0.167 0.000
Tb1 Tb 0.086 0.415 0.747
Tb2 Tb 0.256 0.256 0.252
Tb3 Tb 0.415 0.086 0.747
Tb4 Tb 0.585 0.914 0.253
Tb5 Tb 0.744 0.744 0.748
Tb6 Tb 0.914 0.585 0.253
Ho1 Ho 0.000 0.000 0.500
Ho2 Ho 0.333 0.667 0.500
Ho3 Ho 0.667 0.333 0.500
Th1 Th 0.500 0.500 0.000
```

Values from the calculation:
- space group = C2/m, No. 12

---

Entry 6:
First-principles (PBE) data for a geometry-optimized LaTb2HoTh structure, as listed in Alexandria via LeMat-Bulk.

The structure in CIF format:
```
data_LaTb2HoTh
_chemical_formula_sum 'La1 Tb2 Ho1 Th1'
_space_group_name_H-M_alt 'P 1'
_space_group_IT_number 1
_space_group_name_Hall 'P 1'
_cell_length_a 3.527
_cell_length_b 5.687
_cell_length_c 8.743
_cell_angle_alpha 90.00
_cell_angle_beta 90.05
_cell_angle_gamma 90.00
loop_
_atom_site_label
_atom_site_type_symbol
_atom_site_fract_x
_atom_site_fract_y
_atom_site_fract_z
La1 La 0.000 0.000 0.000
Tb1 Tb 0.001 0.500 0.322
Tb2 Tb 0.999 0.500 0.678
Ho1 Ho 0.500 0.000 0.500
Th1 Th 0.500 0.500 0.000
```

Values from the calculation:
- space group = P2/m, No. 10

---

Entry 7:
First-principles (PBE) data for a geometry-optimized La5TbHo2Th structure, as listed in Alexandria via LeMat-Bulk.

The structure in CIF format:
```
data_La5TbHo2Th
_chemical_formula_sum 'La10 Tb2 Ho4 Th2'
_space_group_name_H-M_alt 'P 1'
_space_group_IT_number 1
_space_group_name_Hall 'P 1'
_cell_length_a 11.218
_cell_length_b 11.218
_cell_length_c 10.695
_cell_angle_alpha 90.00
_cell_angle_beta 90.00
_cell_angle_gamma 151.58
loop_
_atom_site_label
_atom_site_type_symbol
_atom_site_fract_x
_atom_site_fract_y
_atom_site_fract_z
La1 La 0.000 0.000 0.000
La2 La 0.000 0.000 0.500
La3 La 0.128 0.872 0.750
La4 La 0.223 0.777 0.058
La5 La 0.223 0.777 0.442
La6 La 0.498 0.502 0.250
La7 La 0.502 0.498 0.750
La8 La 0.777 0.223 0.558
La9 La 0.777 0.223 0.942
La10 La 0.872 0.128 0.250
Tb1 Tb 0.102 0.898 0.250
Tb2 Tb 0.898 0.102 0.750
Ho1 Ho 0.388 0.612 0.507
Ho2 Ho 0.388 0.612 0.993
Ho3 Ho 0.612 0.388 0.007
Ho4 Ho 0.612 0.388 0.493
Th1 Th 0.288 0.712 0.750
Th2 Th 0.712 0.288 0.250
```

Values from the calculation:
- space group = Cmcm, No. 63

---

Entry 8:
First-principles (PBE) data for a geometry-optimized LaTb2HoTl2 structure, as listed in Alexandria via LeMat-Bulk.

The structure in CIF format:
```
data_LaTb2HoTl2
_chemical_formula_sum 'La2 Tb4 Ho2 Tl4'
_space_group_name_H-M_alt 'P 1'
_space_group_IT_number 1
_space_group_name_Hall 'P 1'
_cell_length_a 5.196
_cell_length_b 10.150
_cell_length_c 6.850
_cell_angle_alpha 90.00
_cell_angle_beta 90.00
_cell_angle_gamma 90.00
loop_
_atom_site_label
_atom_site_type_symbol
_atom_site_fract_x
_atom_site_fract_y
_atom_site_fract_z
La1 La 0.000 0.043 0.000
La2 La 0.000 0.957 0.500
Tb1 Tb 0.000 0.320 0.380
Tb2 Tb 0.000 0.680 0.880
Tb3 Tb 0.500 0.455 0.095
Tb4 Tb 0.500 0.545 0.595
Ho1 Ho 0.500 0.195 0.724
Ho2 Ho 0.500 0.805 0.224
Tl1 Tl 0.000 0.366 0.842
Tl2 Tl 0.000 0.634 0.342
Tl3 Tl 0.500 0.140 0.267
Tl4 Tl 0.500 0.860 0.767
```

Values from the calculation:
- space group = Pmc2_1, No. 26

---

Entry 9:
First-principles (PBE) data for a geometry-optimized LaTb2HoTl4 structure, as listed in Alexandria via LeMat-Bulk.

The structure in CIF format:
```
data_LaTb2HoTl4
_chemical_formula_sum 'La1 Tb2 Ho1 Tl4'
_space_group_name_H-M_alt 'P 1'
_space_group_IT_number 1
_space_group_name_Hall 'P 1'
_cell_length_a 9.471
_cell_length_b 9.471
_cell_length_c 9.471
_cell_angle_alpha 33.37
_cell_angle_beta 33.37
_cell_angle_gamma 33.37
loop_
_atom_site_label
_atom_site_type_symbol
_atom_site_fract_x
_atom_site_fract_y
_atom_site_fract_z
La1 La 0.000 0.000 0.000
Tb1 Tb 0.249 0.249 0.249
Tb2 Tb 0.751 0.751 0.751
Ho1 Ho 0.500 0.500 0.500
Tl1 Tl 0.127 0.127 0.127
Tl2 Tl 0.378 0.378 0.378
Tl3 Tl 0.622 0.622 0.622
Tl4 Tl 0.873 0.873 0.873
```

Values from the calculation:
- space group = R-3m, No. 166

---

Entry 10:
First-principles (PBE) data for a geometry-optimized LaTbHo2Tl4 structure, as listed in Alexandria via LeMat-Bulk.

The structure in CIF format:
```
data_LaTbHo2Tl4
_chemical_formula_sum 'La1 Tb1 Ho2 Tl4'
_space_group_name_H-M_alt 'P 1'
_space_group_IT_number 1
_space_group_name_Hall 'P 1'
_cell_length_a 9.443
_cell_length_b 9.443
_cell_length_c 9.443
_cell_angle_alpha 33.40
_cell_angle_beta 33.40
_cell_angle_gamma 33.40
loop_
_atom_site_label
_atom_site_type_symbol
_atom_site_fract_x
_atom_site_fract_y
_atom_site_fract_z
La1 La 0.000 0.000 0.000
Tb1 Tb 0.500 0.500 0.500
Ho1 Ho 0.249 0.249 0.249
Ho2 Ho 0.751 0.751 0.751
Tl1 Tl 0.127 0.127 0.127
Tl2 Tl 0.377 0.377 0.377
Tl3 Tl 0.623 0.623 0.623
Tl4 Tl 0.873 0.873 0.873
```

Values from the calculation:
- space group = R-3m, No. 166

---

Q: Which energy relative to the elements values were calculated for the entries above? A: 0.285, 0.032, 0.126, 0.227, 0.031, 0.290, 0.129, -0.269, -0.356, -0.351, in eV/atom.